Entry 1:
Compound: Nd2AgSb4Rh3
Source: Alexandria
Functional: PBE
Structure: relaxed

Its formation energy (no corrections) is -700 meV per atom. The total energy is -57.9 eV per cell.

The structure belongs to space group P-4m2 (No. 115); the cell edges are 4.5873, 4.5873 and 10.6377 Å and the angles 90.00°, 90.00° and 90.00°. The inequivalent atoms are Nd at (0.0000, 0.5000, 0.2497), Ag at (0.0000, 0.0000, 0.5000), Sb at (0.0000, 0.0000, 0.0000), Sb at (0.0000, 0.5000, 0.6394), Sb at (0.5000, 0.5000, 0.0000), Rh at (0.0000, 0.5000, 0.8811) and Rh at (0.5000, 0.5000, 0.5000).

Entry 2:
Compound: AlBiAu2
Source: Alexandria
Functional: PBE
Structure: relaxed

The total energy is -44.6 eV per cell. The calculation puts the excess energy over the best structure of this formula in the dataset at 0 meV per atom. The value obtained for the formation energy from the elements is -0.170 eV per atom.

The structure belongs to space group R-3m (No. 166, hexagonal axes); the cell edges are 4.3069, 4.3069 and 16.3710 Å and the angles 90.00°, 90.00° and 120.00°. The inequivalent atoms are Al at (0.0000, 0.0000, 0.0000), Bi at (0.0000, 0.0000, 0.5000) and Au at (0.0000, 0.0000, 0.2798).

Entry 3:
Compound: LaNpIn4
Source: Alexandria
Functional: PBE
Structure: relaxed

The total energy is -118.0 eV per cell. The value obtained for the formation energy from the elements is -0.114 eV per atom.

The structure belongs to space group F-43m (No. 216); the cell edges are 8.6174, 8.6174 and 8.6174 Å and the angles 90.00°, 90.00° and 90.00°. The inequivalent atoms are La at (0.0000, 0.0000, 0.0000), Np at (0.2500, 0.2500, 0.2500) and In at (0.1249, 0.1249, 0.6249).

Entry 4:
Compound: Mg2HgIr
Source: Alexandria
Functional: PBE
Structure: relaxed

The total energy is -13.2 eV per cell. The calculation puts the excess energy over the best structure of this formula in the dataset at 93 meV per atom. The value obtained for the formation energy from the elements is -0.217 eV per atom.

The structure belongs to space group P4/mmm (No. 123); the cell edges are 4.6742, 4.6742 and 3.2026 Å and the angles 90.00°, 90.00° and 90.00°. The inequivalent atoms are Mg at (0.0000, 0.5000, 0.0000), Hg at (0.0000, 0.0000, 0.5000) and Ir at (0.5000, 0.5000, 0.5000).

Entry 5:
Compound: Tb3PrPu2S6
Source: Alexandria
Functional: PBE
Structure: relaxed

Its formation energy (no corrections) is -1951 meV per atom. The total energy is -191.0 eV per cell.

The structure belongs to space group C2/m (No. 12); the cell edges are 6.8575, 11.8824 and 6.8965 Å and the angles 90.00°, 109.34° and 90.00°. The inequivalent atoms are Tb at (0.0000, 0.0000, 0.0000), Tb at (0.0000, 0.3356, 0.0000), Pr at (0.0000, 0.5000, 0.5000), Pu at (0.0000, 0.1669, 0.5000), S at (0.2442, 0.0000, 0.7556) and S at (0.2438, 0.1704, 0.2431).

Entry 6:
Compound: LaHo2Ge2Pt7
Source: Alexandria
Functional: PBE
Structure: relaxed

The total energy is -153.0 eV per cell. The value obtained for the formation energy from the elements is -0.908 eV per atom.

The structure belongs to space group C2/m (No. 12); the cell edges are 5.8637, 5.7568 and 14.1532 Å and the angles 90.00°, 99.68° and 90.00°. The inequivalent atoms are La at (0.0000, 0.0000, 0.0000), Ho at (0.1278, 0.0000, 0.3615), Ge at (0.1098, 0.5000, 0.2633), Pt at (0.0000, 0.5000, 0.0000), Pt at (0.1392, 0.5000, 0.4349) and Pt at (0.1805, 0.2503, 0.8358).

Entry 7:
Compound: NbNiB4
Source: Alexandria
Functional: PBE
Structure: relaxed

The total energy is -177.6 eV per cell. The value obtained for the formation energy from the elements is -0.308 eV per atom.

The structure belongs to space group Pbam (No. 55); the cell edges are 5.7617, 11.1856 and 3.1951 Å and the angles 90.00°, 90.00° and 90.00°. The inequivalent atoms are Nb at (0.1250, 0.1527, 0.0000), Ni at (0.1340, 0.4085, 0.0000), B at (0.0280, 0.6947, 0.5000), B at (0.1207, 0.5496, 0.5000), B at (0.1313, 0.9683, 0.5000) and B at (0.2114, 0.8126, 0.5000).

Entry 8:
Compound: AcPmHo
Source: Alexandria
Functional: PBE
Structure: relaxed

The total energy is -13.1 eV per cell. The calculation puts the excess energy over the best structure of this formula in the dataset at 78 meV per atom. The value obtained for the formation energy from the elements is 0.127 eV per atom.

The structure belongs to space group P3m1 (No. 156); the cell edges are 5.9104, 5.9104 and 3.6075 Å and the angles 90.00°, 90.00° and 120.00°. The inequivalent atoms are Ac at (0.0000, 0.0000, 0.0000), Pm at (0.6667, 0.3333, 0.4987) and Ho at (0.3333, 0.6667, 0.9965).